Entry from Alexandria: an optimized crystal structure of Cs2UGeTe4 (PBE).

Cell: 6.158 17.212 29.194 Å, 90.00 90.00 90.00°
Space group Fddd (No. 70, origin choice 2)
Unique sites:
Cs 0.125 0.125 0.301 x16
U 0.125 0.125 0.125 x8
Ge 0.125 0.125 0.625 x8
Te 0.123 0.269 0.817 x32

Properties
Magnetization in μB/f.u.: 1.983
Energy in eV for the cell shown: -277.6